# Li4ZnFeSn2 PBE-GGA relaxed
data_Li4ZnFeSn2
_chemical_formula_sum 'Li4 Zn1 Fe1 Sn2'
_cell_length_a 4.454
_cell_length_b 4.454
_cell_length_c 6.430
_cell_angle_alpha 90.00
_cell_angle_beta 90.00
_cell_angle_gamma 90.00
_symmetry_space_group_name_H-M 'P -4 m 2'
_symmetry_Int_Tables_number 115
loop_
_symmetry_equiv_pos_as_xyz
'x,y,z'
'y,-x,-z'
'-x,-y,z'
'-y,x,-z'
'-x,y,z'
'-y,-x,-z'
'x,-y,z'
'y,x,-z'
loop_
_atom_site_label
_atom_site_type_symbol
_atom_site_fract_x
_atom_site_fract_y
_atom_site_fract_z
Li1 Li 0.000 0.000 0.000
Li2 Li 0.000 0.500 0.244
Li3 Li 0.500 0.500 0.500
Zn1 Zn 0.000 0.000 0.500
Fe1 Fe 0.500 0.500 0.000
Sn1 Sn 0.000 0.500 0.767
# - Energy: -26.972 eV for the cell shown